A relaxed NbVIO2 crystal, computed with PBE+U.

Calculated values
- E (eV per atom) = -6.402

Lattice parameters (Å, degrees): 3.9905 3.9905 6.2444 90.00 90.00 90.00
Closest atoms and distances in Å follow each position.
Fractional positions:
O 0.5000 0.0000 0.0000  2 Nb 2.00
O 0.0000 0.5000 0.0000  2 Nb 2.00
V 0.5000 0.5000 0.5000  4 I 2.82
Nb 0.0000 0.0000 0.0000  4 O 2.00
I 0.0000 0.0000 0.5000  4 V 2.82, 2 Nb 3.12